Density functional theory data (SCAN) for a crystal of LiLaAl2 relaxed with PBEsol.

```
LiLaAl2
1.0
3.343 0.000 0.000
0.000 3.343 0.000
0.000 0.000 7.384
Li La Al
1 1 2
Direct
0.000 0.000 0.000
0.000 0.000 0.500
0.500 0.500 0.192
0.500 0.500 0.808
```

uncorrected energy: -61.93 eV for the cell shown
formation enthalpy at 0 K: -0.2320 eV/atom
density: 4021 kg/m3
volume: 83 Å³/cell